[1]
DFT (PBE-GGA) results for a relaxed structure of SrSiAg2F.

Unit cell a=5.8555 b=5.8555 c=4.3423 alpha=90.00 beta=90.00 gamma=90.00
Space group P4/mmm (No. 123)
One atom of each set of equivalent atoms:
Sr: 0.0000 0.0000 0.0000 x1
Si: 0.5000 0.5000 0.5000 x1
Ag: 0.0000 0.5000 0.0000 x2
F: 0.0000 0.0000 0.5000 x1

Summary:
D(E_F), states/eV per atom: 0.60
Total energy, eV/atom: -3.004
Formation energy from raw total energies, eV/atom: -0.068
Magnetic moment, μB/f.u.: 0.00
Volume, Å³ per atom: 29.78

[2]
DFT (PBE-GGA) results for a relaxed structure of DyGa3NiPt.

Unit cell a=6.0553 b=12.1369 c=5.7914 alpha=90.00 beta=90.00 gamma=90.00
Space group Cmcm (No. 63)
One atom of each set of equivalent atoms:
Dy: 0.0000 0.2284 0.2500 x4
Ga: 0.0000 0.3564 0.7500 x4
Ga: 0.2092 0.0000 0.0000 x8
Ni: 0.0000 0.4434 0.2500 x4
Pt: 0.0000 0.1524 0.7500 x4

Summary:
Formation enthalpy at 0 K, kJ per mole of atoms: -51.7
D(E_F), states/eV per atom: 0.52
Total energy, eV/atom: -4.787
Magnetic moment, μB/f.u.: 0.00
Volume, Å³ per atom: 17.73

[3]
DFT (PBE-GGA) results for a relaxed structure of Nd2Si2Br.

Unit cell a=8.0370 b=16.8882 c=3.9290 alpha=90.00 beta=90.00 gamma=90.00
Space group Imma (No. 74)
One atom of each set of equivalent atoms:
Nd: 0.2500 0.1026 0.2500 x8
Si: 0.0000 0.0414 0.7500 x8
Br: 0.0000 0.2500 0.2469 x4

Summary:
D(E_F), states/eV per atom: 0.25
Total energy, eV/atom: -5.413
Formation energy from raw total energies, eV/atom: -1.002
Magnetic moment, μB/f.u.: 0.00
Volume, Å³ per atom: 26.66

[4]
DFT (PBE-GGA) results for a relaxed structure of CuSbW2.

Unit cell a=3.8784 b=3.8784 c=8.7770 alpha=90.00 beta=90.00 gamma=90.00
Space group I4/mmm (No. 139)
One atom of each set of equivalent atoms:
Cu: 0.0000 0.0000 0.0000 x2
Sb: 0.0000 0.0000 0.5000 x2
W: 0.0000 0.5000 0.2500 x4

Summary:
D(E_F), states/eV per atom: 0.82
Total energy, eV/atom: -7.895
Formation energy from raw total energies, eV/atom: 0.636
Magnetic moment, μB/f.u.: 0.00
Volume, Å³ per atom: 16.50

[5]
DFT (PBE-GGA) results for a relaxed structure of SrGa2Pt.

Unit cell a=8.1393 b=6.9603 c=6.0147 alpha=90.00 beta=90.00 gamma=90.00
Space group Pnma (No. 62)
One atom of each set of equivalent atoms:
Sr: 0.0383 0.2500 0.1207 x4
Ga: 0.1689 0.0617 0.6007 x8
Pt: 0.1165 0.7500 0.3637 x4

Summary:
Formation enthalpy at 0 K, kJ per mole of atoms: -64.9
D(E_F), states/eV per atom: 0.52
Total energy, eV/atom: -4.116
Magnetic moment, μB/f.u.: 0.00
Volume, Å³ per atom: 21.30

[6]
DFT (PBE-GGA) results for a relaxed structure of TlMo2Os.

Unit cell a=9.6360 b=2.9097 c=4.9965 alpha=90.00 beta=101.64 gamma=90.00
Space group Cm (No. 8)
One atom of each set of equivalent atoms:
Tl: 0.0000 0.0000 0.0000 x2
Mo: 0.0104 0.5000 0.5072 x2
Mo: 0.2661 0.5000 0.2821 x2
Os: 0.2376 0.0000 0.7109 x2

Summary:
Formation enthalpy at 0 K, kJ per mole of atoms: 55.1
D(E_F), states/eV per atom: 0.66
Total energy, eV/atom: -8.244
Magnetic moment, μB/f.u.: 0.00
Volume, Å³ per atom: 17.15

[7]
DFT (PBE-GGA) results for a relaxed structure of AlIn2Sb.

Unit cell a=4.2468 b=4.2468 c=11.4450 alpha=90.00 beta=90.00 gamma=90.00
Space group I4/mmm (No. 139)
One atom of each set of equivalent atoms:
Al: 0.0000 0.0000 0.0000 x2
In: 0.0000 0.5000 0.2500 x4
Sb: 0.0000 0.0000 0.5000 x2

Summary:
D(E_F), states/eV per atom: 0.61
Total energy, eV/atom: -3.179
Formation energy from raw total energies, eV/atom: 0.157
Magnetic moment, μB/f.u.: 0.00
Volume, Å³ per atom: 25.80

[8]
DFT (PBE-GGA) results for a relaxed structure of BaLiTl2.

Unit cell a=4.0582 b=4.0582 c=7.8282 alpha=90.00 beta=90.00 gamma=90.00
Space group P4mm (No. 99)
One atom of each set of equivalent atoms:
Ba: 0.0000 0.0000 0.0000 x1
Li: 0.5000 0.5000 0.3412 x1
Tl: 0.0000 0.0000 0.4761 x1
Tl: 0.5000 0.5000 0.7197 x1

Summary:
Formation enthalpy at 0 K, kJ per mole of atoms: -17.1
D(E_F), states/eV per atom: 0.68
Total energy, eV/atom: -2.320
Magnetic moment, μB/f.u.: 0.00
Volume, Å³ per atom: 32.23

[9]
DFT (PBE-GGA) results for a relaxed structure of ScBe2Tc.

Unit cell a=3.1144 b=3.1144 c=5.3864 alpha=90.00 beta=90.00 gamma=90.00
Space group P4/mmm (No. 123)
One atom of each set of equivalent atoms:
Sc: 0.0000 0.0000 0.0000 x1
Be: 0.5000 0.5000 0.3059 x2
Tc: 0.0000 0.0000 0.5000 x1

Summary:
Formation enthalpy at 0 K, kJ per mole of atoms: -21.6
D(E_F), states/eV per atom: 0.45
Total energy, eV/atom: -6.261
Magnetic moment, μB/f.u.: 0.00
Volume, Å³ per atom: 13.06

[10]
DFT (PBE-GGA) results for a relaxed structure of Sr4Ca5.

Unit cell a=11.2951 b=11.2951 c=7.7922 alpha=90.00 beta=90.00 gamma=120.00
Space group P6_3/mcm (No. 193)
One atom of each set of equivalent atoms:
Sr: 0.0000 0.0000 0.0000 x2
Sr: 0.0000 0.3364 0.2500 x6
Ca: 0.0000 0.3367 0.7500 x6
Ca: 0.3333 0.6667 0.0000 x4

Summary:
Formation enthalpy at 0 K, kJ per mole of atoms: 6.9
D(E_F), states/eV per atom: 1.59
Total energy, eV/atom: -1.788
Magnetic moment, μB/f.u.: 1.20
Volume, Å³ per atom: 47.83

[11]
DFT (PBE-GGA) results for a relaxed structure of CuF4.

Unit cell a=4.9749 b=5.6097 c=10.3944 alpha=90.00 beta=90.00 gamma=90.00
Space group Fmmm (No. 69)
One atom of each set of equivalent atoms:
Cu: 0.0000 0.0000 0.0000 x4
F: 0.0000 0.2243 0.1188 x16

Summary:
D(E_F), states/eV per atom: 0.52
Total energy, eV/atom: -3.245
Formation energy from raw total energies, eV/atom: -0.929
Magnetic moment, μB/f.u.: 1.02
Volume, Å³ per atom: 14.50

[12]
DFT (PBE-GGA) results for a relaxed structure of Sr2Ge3Pd4Pb.

Unit cell a=4.4993 b=4.4993 c=10.6473 alpha=90.00 beta=90.00 gamma=90.00
Space group P-4m2 (No. 115)
One atom of each set of equivalent atoms:
Sr: 0.0000 0.5000 0.2408 x2
Ge: 0.0000 0.5000 0.8870 x2
Ge: 0.5000 0.5000 0.5000 x1
Pd: 0.0000 0.0000 0.0000 x1
Pd: 0.0000 0.5000 0.6526 x2
Pd: 0.5000 0.5000 0.0000 x1
Pb: 0.0000 0.0000 0.5000 x1

Summary:
Formation enthalpy at 0 K, kJ per mole of atoms: -61.0
D(E_F), states/eV per atom: 0.53
Total energy, eV/atom: -4.802
Magnetic moment, μB/f.u.: 0.00
Volume, Å³ per atom: 21.55

[13]
DFT (PBE-GGA) results for a relaxed structure of Hg2Se.

Unit cell a=8.4125 b=8.4125 c=8.4125 alpha=90.00 beta=90.00 gamma=90.00
Space group Fd-3m (No. 227, origin choice 2)
One atom of each set of equivalent atoms:
Hg: 0.0000 0.0000 0.0000 x16
Se: 0.1250 0.1250 0.6250 x8

Summary:
D(E_F), states/eV per atom: 1.01
Total energy, eV/atom: -0.926
Formation energy from raw total energies, eV/atom: 0.437
Magnetic moment, μB/f.u.: 0.01
Volume, Å³ per atom: 24.81

[14]
DFT (PBE-GGA) results for a relaxed structure of ZrGeTeI2.

Unit cell a=5.5026 b=5.5026 c=5.6415 alpha=90.00 beta=90.00 gamma=90.00
Space group P4/mmm (No. 123)
One atom of each set of equivalent atoms:
Zr: 0.0000 0.0000 0.0000 x1
Ge: 0.5000 0.5000 0.5000 x1
Te: 0.5000 0.5000 0.0000 x1
I: 0.0000 0.5000 0.5000 x2

Summary:
D(E_F), states/eV per atom: 1.01
Total energy, eV/atom: -3.377
Formation energy from raw total energies, eV/atom: 0.505
Magnetic moment, μB/f.u.: 2.07
Volume, Å³ per atom: 34.16

[15]
DFT (PBE-GGA) results for a relaxed structure of CoSbPdRh2.

Unit cell a=4.4872 b=4.4872 c=4.6456 alpha=90.00 beta=90.00 gamma=90.00
Space group P4/mmm (No. 123)
One atom of each set of equivalent atoms:
Co: 0.0000 0.0000 0.0000 x1
Sb: 0.0000 0.0000 0.5000 x1
Pd: 0.5000 0.5000 0.5000 x1
Rh: 0.0000 0.5000 0.0000 x2

Summary:
D(E_F), states/eV per atom: 0.93
Total energy, eV/atom: -5.446
Formation energy from raw total energies, eV/atom: 0.779
Magnetic moment, μB/f.u.: 2.44
Volume, Å³ per atom: 18.71

[16]
DFT (PBE-GGA) results for a relaxed structure of MgP2.

Unit cell a=4.5926 b=4.5926 c=5.4364 alpha=90.00 beta=90.00 gamma=120.00
Space group P6_3/mmc (No. 194)
One atom of each set of equivalent atoms:
Mg: 0.3333 0.6667 0.2500 x2
P: 0.0000 0.0000 0.0000 x2
P: 0.3333 0.6667 0.7500 x2

Summary:
Formation enthalpy at 0 K, kJ per mole of atoms: 22.4
D(E_F), states/eV per atom: 0.37
Total energy, eV/atom: -3.906
Magnetic moment, μB/f.u.: 0.00
Volume, Å³ per atom: 16.55

[17]
DFT (PBE-GGA) results for a relaxed structure of Nb2GaMoSe.

Unit cell a=4.7450 b=4.7450 c=4.6022 alpha=90.00 beta=90.00 gamma=90.00
Space group P4/mmm (No. 123)
One atom of each set of equivalent atoms:
Nb: 0.0000 0.5000 0.0000 x2
Ga: 0.0000 0.0000 0.5000 x1
Mo: 0.5000 0.5000 0.5000 x1
Se: 0.5000 0.5000 0.0000 x1

Summary:
D(E_F), states/eV per atom: 1.63
Total energy, eV/atom: -6.734
Formation energy from raw total energies, eV/atom: 0.762
Magnetic moment, μB/f.u.: 0.00
Volume, Å³ per atom: 20.72

[18]
DFT (PBE-GGA) results for a relaxed structure of Sc4Ni5.

Unit cell a=7.6930 b=7.6930 c=5.4348 alpha=90.00 beta=90.00 gamma=120.00
Space group P6_3/mcm (No. 193)
One atom of each set of equivalent atoms:
Sc: 0.0000 0.0000 0.0000 x2
Sc: 0.0000 0.3708 0.2500 x6
Ni: 0.0000 0.3045 0.7500 x6
Ni: 0.3333 0.6667 0.0000 x4

Summary:
Formation enthalpy at 0 K, kJ per mole of atoms: -34.2
D(E_F), states/eV per atom: 0.65
Total energy, eV/atom: -6.381
Magnetic moment, μB/f.u.: 0.00
Volume, Å³ per atom: 15.48

[19]
DFT (PBE-GGA) results for a relaxed structure of La2CrAs.

Unit cell a=3.5075 b=3.5075 c=8.4739 alpha=90.00 beta=90.00 gamma=90.00
Space group P4mm (No. 99)
One atom of each set of equivalent atoms:
La: 0.0000 0.0000 0.0000 x1
La: 0.5000 0.5000 0.3828 x1
Cr: 0.5000 0.5000 0.7426 x1
As: 0.0000 0.0000 0.6323 x1

Summary:
Formation enthalpy at 0 K, kJ per mole of atoms: -14.0
D(E_F), states/eV per atom: 0.97
Total energy, eV/atom: -6.177
Magnetic moment, μB/f.u.: 2.99
Volume, Å³ per atom: 26.06

[20]
DFT (PBE-GGA) results for a relaxed structure of Tb2Y6Pb.

Unit cell a=10.7878 b=10.7878 c=4.8460 alpha=90.00 beta=90.00 gamma=90.00
Space group P4_2/mnm (No. 136)
One atom of each set of equivalent atoms:
Tb: 0.1645 0.1645 0.0000 x4
Y: 0.0018 0.3356 0.5000 x8
Y: 0.1592 0.8408 0.0000 x4
Pb: 0.0000 0.0000 0.5000 x2

Summary:
Formation enthalpy at 0 K, kJ per mole of atoms: -8.8
D(E_F), states/eV per atom: 1.76
Total energy, eV/atom: -5.842
Magnetic moment, μB/f.u.: 0.00
Volume, Å³ per atom: 31.33

[21]
DFT (PBE-GGA) results for a relaxed structure of Be2TlAg.

Unit cell a=2.9473 b=3.9550 c=11.5659 alpha=90.00 beta=90.00 gamma=90.00
Space group Imm2 (No. 44)
One atom of each set of equivalent atoms:
Be: 0.0000 0.0000 0.0000 x2
Be: 0.0000 0.5000 0.3537 x2
Tl: 0.0000 0.5000 0.7216 x2
Ag: 0.0000 0.0000 0.4897 x2

Summary:
Formation enthalpy at 0 K, kJ per mole of atoms: 47.3
D(E_F), states/eV per atom: 0.31
Total energy, eV/atom: -2.677
Magnetic moment, μB/f.u.: 0.00
Volume, Å³ per atom: 16.85

[22]
DFT (PBE-GGA) results for a relaxed structure of SiRu2Br.

Unit cell a=7.0960 b=3.0041 c=7.4296 alpha=90.00 beta=114.56 gamma=90.00
Space group C2/m (No. 12)
One atom of each set of equivalent atoms:
Si: 0.0000 0.0000 0.0000 x2
Ru: 0.1373 0.5000 0.8303 x4
Br: 0.0000 0.0000 0.5000 x2

Summary:
D(E_F), states/eV per atom: 1.26
Total energy, eV/atom: -6.346
Formation energy from raw total energies, eV/atom: 0.065
Magnetic moment, μB/f.u.: 0.00
Volume, Å³ per atom: 18.01

[23]
DFT (PBE-GGA) results for a relaxed structure of Li2AcIN.

Unit cell a=3.9107 b=14.5895 c=7.6470 alpha=90.00 beta=90.00 gamma=90.00
Space group Cmcm (No. 63)
One atom of each set of equivalent atoms:
Li: 0.0000 0.1343 0.0391 x8
Ac: 0.0000 0.4823 0.2500 x4
I: 0.0000 0.2539 0.7500 x4
N: 0.0000 0.0000 0.0000 x4

Summary:
D(E_F), states/eV per atom: 0.46
Total energy, eV/atom: -4.306
Formation energy from raw total energies, eV/atom: -0.743
Magnetic moment, μB/f.u.: 0.00
Volume, Å³ per atom: 21.82

[24]
DFT (PBE-GGA) results for a relaxed structure of Cr2HRh2.

Unit cell a=3.7877 b=3.7877 c=3.7623 alpha=90.00 beta=90.00 gamma=90.00
Space group P4/mmm (No. 123)
One atom of each set of equivalent atoms:
Cr: 0.0000 0.5000 0.0000 x2
H: 0.0000 0.0000 0.0000 x1
Rh: 0.0000 0.0000 0.5000 x1
Rh: 0.5000 0.5000 0.5000 x1

Summary:
D(E_F), states/eV per atom: 0.82
Total energy, eV/atom: -7.490
Magnetic moment, μB/f.u.: 1.04
Volume, Å³ per atom: 10.80